This record from the Alexandria database describes crystalline Tc2Bi2O at its relaxed geometry. The functional is PBE.

Lattice parameters (Å, degrees): 6.0594 6.0594 5.1689 90.00 90.00 90.00
Closest atoms and distances in Å follow each position.
Element x y z (fractional)
Tc: 0.1318 0.3682 0.0000  1 Tc 2.26, 2 O 2.37
Tc: 0.3682 0.8682 0.0000  1 Tc 2.26, 2 O 2.37
Tc: 0.6318 0.1318 0.0000  1 Tc 2.26, 2 O 2.37
Tc: 0.8682 0.6318 0.0000  1 Tc 2.26, 2 O 2.37
Bi: 0.1973 0.6973 0.5000  6 Tc 2.97-3.29, 4 Bi 3.10
Bi: 0.3027 0.1973 0.5000  6 Tc 2.97-3.29, 4 Bi 3.10
Bi: 0.6973 0.8027 0.5000  6 Tc 2.97-3.29, 4 Bi 3.10
Bi: 0.8027 0.3027 0.5000  6 Tc 2.97-3.29, 4 Bi 3.10
O: 0.0000 0.0000 0.0000  4 Tc 2.37
O: 0.5000 0.5000 0.0000  4 Tc 2.37

Properties
polymorph energy (0 for the lowest one)	0.149	eV per atom
formation energy (no corrections)	2.06	eV/f.u.
electronic total energy	-31.39	eV/f.u.
space-group type	P4/mbm